# Ce2PrSb PBE relaxed
data_Ce2PrSb
_cell_length_a 5.473
_cell_length_b 5.473
_cell_length_c 5.473
_cell_angle_alpha 60.00
_cell_angle_beta 60.00
_cell_angle_gamma 60.00
_space_group_name_H-M_alt 'P 1'
_space_group_IT_number 1
loop_
_space_group_symop_operation_xyz
'x,y,z'
loop_
_atom_site_label
_atom_site_type_symbol
_atom_site_fract_x
_atom_site_fract_y
_atom_site_fract_z
_atom_site_occupancy
Ce1 Ce 0.250 0.250 0.250 1
Ce2 Ce 0.750 0.750 0.750 1
Pr1 Pr 0.000 0.000 0.000 1
Sb1 Sb 0.500 0.500 0.500 1
# E_form (uncorrected) = -1.00 eV/f.u.
# Total moment = 2.1 μB per cell
# Volume = 28.988 Å³/atom
# Relative energy among the computed polymorphs = 0.352 eV/atom

***

# ScAl6Zn PBE relaxed
data_ScAl6Zn
_cell_length_a 5.781
_cell_length_b 5.781
_cell_length_c 4.476
_cell_angle_alpha 90.00
_cell_angle_beta 90.00
_cell_angle_gamma 112.87
_space_group_name_H-M_alt 'P 1'
_space_group_IT_number 1
loop_
_space_group_symop_operation_xyz
'x,y,z'
loop_
_atom_site_label
_atom_site_type_symbol
_atom_site_fract_x
_atom_site_fract_y
_atom_site_fract_z
_atom_site_occupancy
Sc1 Sc 0.000 0.000 0.000 1
Al1 Al 0.000 0.500 0.000 1
Al2 Al 0.216 0.784 0.500 1
Al3 Al 0.293 0.293 0.500 1
Al4 Al 0.500 0.000 0.000 1
Al5 Al 0.707 0.707 0.500 1
Al6 Al 0.784 0.216 0.500 1
Zn1 Zn 0.500 0.500 0.000 1
# Total moment = 0.0 μB per cell
# Formation energy = -0.123 eV/atom
# Volume = 17.231 Å³/atom
# Relative energy among the computed polymorphs = 0.000 eV/atom